Computed, not measured: a relaxed structure of CeEuHgBi at the PBE level of DFT.

Cell: 5.5656 5.5656 5.5656 Å, 60.00 60.00 60.00°
Last column: magnetic moment on the atom in μB.
Fractional coordinates of all 4 atoms:
Eu 0.0000 0.0000 0.0000  6.94
Bi 0.2500 0.2500 0.2500  -0.06
Ce 0.5000 0.5000 0.5000  1.21
Hg 0.7500 0.7500 0.7500  0.06

Energy relative to the elements in meV per atom: -544
Raw total energy in eV per cell: -22.6
Space-group type: F-43m, No. 216